# 1
This record from Alexandria via LeMat-Bulk describes LaSi2Sb after structural relaxation. The functional is PBE-GGA.

abc: 7.2996 7.2996 7.2996
angles: 90.00 90.00 90.00
Closest atoms and distances in Å follow each position.
Atoms (fractional coordinates):
La  0.0000  0.0000  0.0000  4 Sb 3.16, 4 Si 3.16
La  0.0000  0.5000  0.5000  4 Sb 3.16, 4 Si 3.16
La  0.5000  0.0000  0.5000  4 Sb 3.16, 4 Si 3.16
La  0.5000  0.5000  0.0000  4 Sb 3.16, 4 Si 3.16
Si  0.0000  0.0000  0.5000  4 Si 3.16, 4 Sb 3.16
Si  0.0000  0.5000  0.0000  4 Si 3.16, 4 Sb 3.16
Si  0.2500  0.2500  0.2500  4 La 3.16, 4 Si 3.16
Si  0.2500  0.7500  0.7500  4 La 3.16, 4 Si 3.16
Si  0.5000  0.0000  0.0000  4 Si 3.16, 4 Sb 3.16
Si  0.5000  0.5000  0.5000  4 Si 3.16, 4 Sb 3.16
Si  0.7500  0.2500  0.7500  4 La 3.16, 4 Si 3.16
Si  0.7500  0.7500  0.2500  4 La 3.16, 4 Si 3.16
Sb  0.2500  0.2500  0.7500  4 Si 3.16, 4 La 3.16
Sb  0.2500  0.7500  0.2500  4 Si 3.16, 4 La 3.16
Sb  0.7500  0.2500  0.2500  4 Si 3.16, 4 La 3.16
Sb  0.7500  0.7500  0.7500  4 Si 3.16, 4 La 3.16

Output
M_tot	0.00	μB/f.u.
VASP energy	-78.004	eV for the cell shown
V	389.0	Å³ per cell
energy relative to the elements, uncorrected	0.10	eV/atom

# 2
This record from Alexandria via LeMat-Bulk describes LaSi2Sb after structural relaxation. The functional is PBE-GGA.

abc: 7.5977 7.5977 7.2062
angles: 90.00 90.00 90.00
Closest atoms and distances in Å follow each position.
Atoms (fractional coordinates):
La  0.0000  0.0000  0.0000  4 Si 3.07
La  0.0000  0.5000  0.2500  4 Si 3.07
La  0.5000  0.0000  0.7500  4 Si 3.07
La  0.5000  0.5000  0.5000  4 Si 3.07
Si  0.2048  0.2500  0.6250  2 Sb 2.62
Si  0.2500  0.7048  0.8750  2 Sb 2.62
Si  0.2500  0.7952  0.3750  2 Sb 2.62
Si  0.2952  0.2500  0.1250  2 Sb 2.62
Si  0.7048  0.7500  0.1250  2 Sb 2.62
Si  0.7500  0.2048  0.3750  2 Sb 2.62
Si  0.7500  0.2952  0.8750  2 Sb 2.62
Si  0.7952  0.7500  0.6250  2 Sb 2.62
Sb  0.0000  0.0000  0.5000  4 Si 2.62
Sb  0.0000  0.5000  0.7500  4 Si 2.62
Sb  0.5000  0.0000  0.2500  4 Si 2.62
Sb  0.5000  0.5000  0.0000  4 Si 2.62

Output
M_tot	0.00	μB/f.u.
VASP energy	-79.723	eV for the cell shown
V	416.0	Å³ per cell
energy relative to the elements, uncorrected	-0.01	eV/atom

# 3
This record from Alexandria via LeMat-Bulk describes La6Si2Sb after structural relaxation. The functional is PBE-GGA.

abc: 8.9267 8.9267 8.9267
angles: 113.09 110.74 104.69
Closest atoms and distances in Å follow each position.
Atoms (fractional coordinates):
La  0.0353  0.2433  0.7920  2 Si 3.17-3.37, 2 Sb 3.39-3.51
La  0.1926  0.2760  0.4685  3 Si 3.18-3.31, 1 Sb 3.35
La  0.1926  0.7240  0.9166  3 Si 3.18-3.31, 1 Sb 3.35
La  0.3189  0.0283  0.7094  3 Si 3.07-3.11
La  0.3189  0.6095  0.2906  3 Si 3.07-3.11
La  0.4513  0.2433  0.2080  2 Si 3.17-3.37, 2 Sb 3.39-3.51
La  0.5487  0.7567  0.7920  2 Si 3.17-3.37, 2 Sb 3.39-3.51
La  0.6811  0.3905  0.7094  3 Si 3.07-3.11
La  0.6811  0.9717  0.2906  3 Si 3.07-3.11
La  0.8074  0.2760  0.0834  3 Si 3.18-3.31, 1 Sb 3.35
La  0.8074  0.7240  0.5315  3 Si 3.18-3.31, 1 Sb 3.35
La  0.9647  0.7567  0.2080  2 Si 3.17-3.37, 2 Sb 3.39-3.51
Si  0.1097  0.6097  0.5000  1 Si 2.39
Si  0.3795  0.0000  0.3795  1 Si 2.45
Si  0.6205  0.0000  0.6205  1 Si 2.45
Si  0.8903  0.3903  0.5000  1 Si 2.39
Sb  0.0000  0.0000  0.0000  8 La 3.35-3.39
Sb  0.5000  0.5000  0.0000  12 La 3.48-3.82

Output
M_tot	0.00	μB/f.u.
VASP energy	-100.478	eV for the cell shown
V	544.5	Å³ per cell
energy relative to the elements, uncorrected	-0.63	eV/atom